A relaxed ZnCdNiF6 crystal, computed with GGA+U.

Properties
Final energy (eV per atom): -4.005

```
data_ZnCdNiF6
_chemical_formula_sum 'Zn2 Cd2 Ni2 F12'
_cell_length_a 5.3234
_cell_length_b 5.3234
_cell_length_c 9.6227
_cell_angle_alpha 90.00
_cell_angle_beta 90.00
_cell_angle_gamma 120.00
_symmetry_space_group_name_H-M 'P -3 1 c'
_symmetry_Int_Tables_number 163
_symmetry_space_group_name_Hall '-P 3 2c'
loop_
_atom_site_label
_atom_site_type_symbol
_atom_site_fract_x
_atom_site_fract_y
_atom_site_fract_z
Zn1 Zn 0.3333 0.6667 0.2500
Cd1 Cd 0.0000 0.0000 0.0000
Ni1 Ni 0.3333 0.6667 0.7500
F1 F 0.0047 0.3542 0.6361
```